# NdTm2Ag, relaxed, DFT PBE-GGA
# **Energy relative to the elements**: -0.002 eV/atom
# **Total magnetization**: 0.00 Bohr magnetons per cell
data_NdTm2Ag
_space_group_name_H-M_alt 'P 1'
_space_group_IT_number 1
_space_group_name_Hall 'P 1'
_cell_length_a 3.609
_cell_length_b 3.609
_cell_length_c 10.498
_cell_angle_alpha 80.10
_cell_angle_beta 80.10
_cell_angle_gamma 60.00
loop_
_atom_site_label
_atom_site_type_symbol
_atom_site_fract_x
_atom_site_fract_y
_atom_site_fract_z
_atom_site_occupancy
Nd1 Nd 0.500 0.500 0.499 1
Tm1 Tm 0.072 0.072 0.785 1
Tm2 Tm 0.262 0.262 0.215 1
Ag1 Ag 0.666 0.666 0.001 1

---

# Nd2TmAg2, relaxed, DFT PBE-GGA
# **Energy relative to the elements**: -0.136 eV/atom
# **Total magnetization**: 0.00 Bohr magnetons per cell
data_Nd2TmAg2
_space_group_name_H-M_alt 'P 1'
_space_group_IT_number 1
_space_group_name_Hall 'P 1'
_cell_length_a 4.028
_cell_length_b 6.408
_cell_length_c 6.408
_cell_angle_alpha 67.10
_cell_angle_beta 71.68
_cell_angle_gamma 71.68
loop_
_atom_site_label
_atom_site_type_symbol
_atom_site_fract_x
_atom_site_fract_y
_atom_site_fract_z
_atom_site_occupancy
Nd1 Nd 0.206 0.294 0.294 1
Nd2 Nd 0.794 0.706 0.706 1
Tm1 Tm 0.000 0.000 0.000 1
Ag1 Ag 0.500 0.296 0.704 1
Ag2 Ag 0.500 0.704 0.296 1